## Fe2SeF (PBE+U)

Data for Fe2SeF after structural relaxation.

The space group is Fm-3m (No. 225) and the conventional cell measures 6.148, 6.148 and 6.148 Å, with angles of 90.00, 90.00 and 90.00 degrees. The asymmetric unit holds Fe at (0.250, 0.250, 0.250), Se at (0.000, 0.000, 0.000) and F at (0.000, 0.000, 0.500).

The excess energy over the best structure of this formula in the dataset is 92 meV/atom.